# PBEsol Tb4Sb3, relaxed
data_Tb4Sb3
_chemical_formula_sum 'Tb8 Sb6'
_symmetry_space_group_name_H-M 'P 1'
_symmetry_Int_Tables_number 1
_cell_length_a 7.8722
_cell_length_b 7.8722
_cell_length_c 7.8722
_cell_angle_alpha 109.47
_cell_angle_beta 109.47
_cell_angle_gamma 109.47
loop_
_symmetry_equiv_pos_as_xyz
'x,y,z'
loop_
_atom_site_label
_atom_site_type_symbol
_atom_site_fract_x
_atom_site_fract_y
_atom_site_fract_z
Tb1 Tb 0.6446 0.0000 0.0000
Tb2 Tb 0.0000 0.5000 0.6446
Tb3 Tb 0.5000 0.6446 0.5000
Tb4 Tb 0.5000 0.1446 0.5000
Tb5 Tb 0.0000 0.5000 0.1446
Tb6 Tb 0.3554 0.3554 0.8554
Tb7 Tb 0.8554 0.8554 0.3554
Tb8 Tb 0.1446 0.0000 0.0000
Sb1 Sb 0.6250 0.3750 0.2500
Sb2 Sb 0.2500 0.8750 0.6250
Sb3 Sb 0.3750 0.7500 0.1250
Sb4 Sb 0.8750 0.1250 0.7500
Sb5 Sb 0.1250 0.2500 0.3750
Sb6 Sb 0.7500 0.6250 0.8750
# E_form (uncorrected) ... -1.060 eV per atom
# SG ... I-43d, No. 220
# Fermi-level density of states ... 12.611 states/eV per cell